*one*
Entry from Alexandria via LeMat-Bulk: an optimized crystal structure of La6HoTm2 (GGA-PBE).

Cell and atoms, written as POSCAR:
```
La6HoTm2
1.0
3.692 0.000 0.001
0.000 9.177 4.184
-0.001 1.679 9.945
La Ho Tm
6 1 2
Direct
0.000 0.505 0.161
0.000 0.839 0.495
0.000 0.495 0.839
0.500 0.678 0.322
0.000 0.161 0.505
0.500 0.322 0.678
0.000 0.000 0.000
0.500 0.172 0.172
0.500 0.828 0.828
```

* Fermi-level density of states: 1.469 states/eV per atom
* total magnetic moment: 0.00 μB per formula unit

*two*
Entry from Alexandria via LeMat-Bulk: an optimized crystal structure of La6HoTm2 (GGA-PBE).

Cell and atoms, written as POSCAR:
```
La6HoTm2
1.0
3.646 0.000 0.000
-1.823 3.157 0.000
0.000 0.000 27.522
La Ho Tm
6 1 2
Direct
0.667 0.333 0.894
0.333 0.667 0.433
0.333 0.667 0.776
0.333 0.667 0.224
0.333 0.667 0.567
0.667 0.333 0.106
0.333 0.667 0.000
0.667 0.333 0.329
0.667 0.333 0.671
```

* Fermi-level density of states: 1.720 states/eV per atom
* total magnetic moment: 0.00 μB per formula unit

Preferred: *two*; penalty for the next structure: 0.064 eV/atom.